# NiHgO2

Crystalline NiHgO2 at its relaxed geometry (GGA+U, Alexandria via LeMat-Bulk).

a = 2.886 Å, b = 3.844 Å, c = 5.690 Å
α = 75.48°, β = 75.56°, γ = 68.38°
Space group P-1 (No. 2)
Unique sites:
Ni (0.000, 0.000, 0.000) [1 per cell]
Hg (0.500, 0.500, 0.500) [1 per cell]
O (0.398, 0.981, 0.227) [2 per cell]

The crystal system is triclinic. The total magnetic moment comes out at 0.0 μB/cell. Its uncorrected energy is -3.6524 eV per atom. The calculated volume is 13.985 Å³ per atom.